Entry 1:
Entry from the Alexandria database: an optimized crystal structure of PaSbPdO (PBE-GGA).

Computed properties:
Magnetic moment = 0.00 Bohr magnetons per cell

Cell and atoms, written as CIF:
```
data_PaSbPdO
_chemical_formula_sum 'Pa2 Sb2 Pd2 O2'
_cell_length_a 4.086
_cell_length_b 4.086
_cell_length_c 8.768
_cell_angle_alpha 90.00
_cell_angle_beta 90.00
_cell_angle_gamma 90.00
_space_group_name_H-M_alt 'P 4/n m m'
_space_group_IT_number 129
loop_
_space_group_symop_operation_xyz
'x,y,z'
'-x,-y,-z'
'-y+1/2,x,z'
'y+1/2,-x,-z'
'-x+1/2,-y+1/2,z'
'x+1/2,y+1/2,-z'
'y,-x+1/2,z'
'-y,x+1/2,-z'
'x+1/2,-y,-z'
'-x+1/2,y,z'
'-y,-x,-z'
'y,x,z'
'-x,y+1/2,-z'
'x,-y+1/2,z'
'y+1/2,x+1/2,-z'
'-y+1/2,-x+1/2,z'
loop_
_atom_site_label
_atom_site_fract_x
_atom_site_fract_y
_atom_site_fract_z
Pa1 0.250 0.250 0.143
Sb1 0.250 0.250 0.698
Pd1 0.250 0.750 0.500
O1 0.250 0.750 0.000
```


Entry 2:
Entry from the Alexandria database: an optimized crystal structure of PaSbPdO6 (PBE-GGA).

Computed properties:
Magnetic moment = 4.00 Bohr magnetons per cell

Cell and atoms, written as CIF:
```
data_PaSbPdO6
_chemical_formula_sum 'Pa2 Sb2 Pd2 O12'
_cell_length_a 5.6010
_cell_length_b 5.6010
_cell_length_c 9.1512
_cell_angle_alpha 90.00
_cell_angle_beta 90.00
_cell_angle_gamma 120.00
_space_group_name_H-M_alt 'P -3 1 c'
_space_group_IT_number 163
_space_group_name_Hall '-P 3 2c'
loop_
_atom_site_label
_atom_site_fract_x
_atom_site_fract_y
_atom_site_fract_z
Pa1 0.3333 0.6667 0.2500
Sb1 0.3333 0.6667 0.7500
Pd1 0.0000 0.0000 0.0000
O1 0.0238 0.3633 0.6323
```


Entry 3:
Entry from the Alexandria database: an optimized crystal structure of ScPaPd2O8 (PBE-GGA).

Computed properties:
Magnetic moment = 0.00 Bohr magnetons per cell

Cell and atoms, written as CIF:
```
data_ScPaPd2O8
_chemical_formula_sum 'Sc2 Pa2 Pd4 O16'
_cell_length_a 6.908
_cell_length_b 6.908
_cell_length_c 6.876
_cell_angle_alpha 90.00
_cell_angle_beta 90.00
_cell_angle_gamma 90.00
_space_group_name_H-M_alt 'I -4 m 2'
_space_group_IT_number 119
_space_group_name_Hall 'I -4 -2'
loop_
_atom_site_label
_atom_site_fract_x
_atom_site_fract_y
_atom_site_fract_z
Sc1 0.000 0.000 0.000
Pa1 0.000 0.500 0.250
Pd1 0.000 0.000 0.500
Pd2 0.000 0.500 0.750
O1 0.000 0.177 0.278
O2 0.000 0.318 0.967
```


Entry 4:
Entry from the Alexandria database: an optimized crystal structure of ScPaPdO6 (PBE-GGA).

Computed properties:
Magnetic moment = 0.00 Bohr magnetons per cell

Cell and atoms, written as CIF:
```
data_ScPaPdO6
_chemical_formula_sum 'Sc1 Pa1 Pd1 O6'
_cell_length_a 5.2366
_cell_length_b 5.2366
_cell_length_c 4.8663
_cell_angle_alpha 90.00
_cell_angle_beta 90.00
_cell_angle_gamma 120.00
_space_group_name_H-M_alt 'P 3 1 2'
_space_group_IT_number 149
_space_group_name_Hall 'P 3 2'
loop_
_atom_site_label
_atom_site_fract_x
_atom_site_fract_y
_atom_site_fract_z
Sc1 0.0000 0.0000 0.0000
Pa1 0.6667 0.3333 0.5000
Pd1 0.3333 0.6667 0.0000
O1 0.0122 0.3443 0.2359
```


Number 1: formation energy without anion corrections -1.660 eV/atom. Number 2: formation energy without anion corrections -1.763 eV/atom. Number 3: formation energy without anion corrections -1.635 eV/atom. Number 4: formation energy without anion corrections -2.456 eV/atom.